Entry from Alexandria via LeMat-Bulk: an optimized crystal structure of RbGaAs2Se (GGA-PBEsol).

Results
* raw total energy: -17.8 eV per formula unit
* total moment: 0.00 μB/f.u.
* crystal system: tetragonal

a = 4.963 Å, b = 4.963 Å, c = 5.266 Å
α = 90.00°, β = 90.00°, γ = 90.00°
Sites, in units of the cell vectors:
1 Rb 0.500 0.500 0.500
2 As 0.500 0.000 0.000
3 Se 0.000 0.000 0.500
4 Ga 0.000 0.000 0.000
5 As 0.000 0.500 0.000

=====

Entry from Alexandria via LeMat-Bulk: an optimized crystal structure of GaReAs3 (GGA-PBEsol).

Results
* energy of formation: 1573.8 meV per atom
* total moment: 2.63 μB/f.u.
* crystal system: cubic

a = 4.683 Å, b = 4.683 Å, c = 4.683 Å
α = 90.00°, β = 90.00°, γ = 90.00°
Last column: magnetic moment on the atom in μB.
Sites, in units of the cell vectors:
1 As 0.500 0.000 0.000  -0.07
2 As 0.000 0.000 0.500  -0.07
3 As 0.000 0.500 0.000  -0.07
4 Ga 0.000 0.000 0.000  0.02
5 Re 0.500 0.500 0.500  2.49

=====

Entry from Alexandria via LeMat-Bulk: an optimized crystal structure of GaReAs2Se (GGA-PBEsol).

Results
* raw total energy: -28.0 eV per formula unit
* total moment: 0.00 μB/f.u.
* crystal system: tetragonal

a = 4.680 Å, b = 4.680 Å, c = 5.361 Å
α = 90.00°, β = 90.00°, γ = 90.00°
Sites, in units of the cell vectors:
1 As 0.500 0.000 0.000
2 Ga 0.500 0.500 0.500
3 As 0.000 0.500 0.000
4 Re 0.000 0.000 0.000
5 Se 0.000 0.000 0.500

=====

Entry from Alexandria via LeMat-Bulk: an optimized crystal structure of GaAsRhSe2 (GGA-PBEsol).

Results
* raw total energy: -22.7 eV per formula unit
* total moment: 0.00 μB/f.u.
* crystal system: tetragonal

a = 4.498 Å, b = 5.033 Å, c = 5.033 Å
α = 90.00°, β = 90.00°, γ = 90.00°
Sites, in units of the cell vectors:
1 Rh 0.000 0.000 0.000
2 Se 0.000 0.500 0.000
3 Ga 0.500 0.500 0.500
4 Se 0.000 0.000 0.500
5 As 0.500 0.000 0.000

=====

Entry from Alexandria via LeMat-Bulk: an optimized crystal structure of GaAsRu2 (GGA-PBEsol).

Results
* energy of formation: -241.8 meV per atom
* total moment: 0.00 μB/f.u.
* crystal system: cubic

a = 4.242 Å, b = 4.242 Å, c = 4.242 Å
α = 60.00°, β = 60.00°, γ = 60.00°
Sites, in units of the cell vectors:
1 Ga 0.000 0.000 0.000
2 Ru 0.750 0.750 0.750
3 Ru 0.250 0.250 0.250
4 As 0.500 0.500 0.500

=====

Entry from Alexandria via LeMat-Bulk: an optimized crystal structure of GaAsSe2S (GGA-PBEsol).

Results
* raw total energy: -16.7 eV per formula unit
* total moment: 0.00 μB/f.u.
* crystal system: tetragonal

a = 4.772 Å, b = 4.772 Å, c = 4.958 Å
α = 90.00°, β = 90.00°, γ = 90.00°
Sites, in units of the cell vectors:
1 As 0.000 0.000 0.500
2 S 0.500 0.500 0.500
3 Ga 0.000 0.000 0.000
4 Se 0.000 0.500 0.000
5 Se 0.500 0.000 0.000

=====

Entry from Alexandria via LeMat-Bulk: an optimized crystal structure of GaAs2SeS (GGA-PBEsol).

Results
* raw total energy: -17.5 eV per formula unit
* total moment: 0.00 μB/f.u.
* crystal system: tetragonal

a = 4.709 Å, b = 4.873 Å, c = 4.873 Å
α = 90.00°, β = 90.00°, γ = 90.00°
Sites, in units of the cell vectors:
1 Se 0.500 0.000 0.000
2 As 0.000 0.500 0.000
3 As 0.000 0.000 0.500
4 S 0.500 0.500 0.500
5 Ga 0.000 0.000 0.000

=====

Entry from Alexandria via LeMat-Bulk: an optimized crystal structure of GaAs2SeS (GGA-PBEsol).

Results
* raw total energy: -18.9 eV per formula unit
* total moment: 0.00 μB/f.u.
* crystal system: tetragonal

a = 4.737 Å, b = 4.737 Å, c = 4.927 Å
α = 90.00°, β = 90.00°, γ = 90.00°
Sites, in units of the cell vectors:
1 Se 0.000 0.000 0.500
2 As 0.000 0.500 0.000
3 As 0.500 0.000 0.000
4 Ga 0.500 0.500 0.500
5 S 0.000 0.000 0.000

=====

Entry from Alexandria via LeMat-Bulk: an optimized crystal structure of GaSbAsSe2 (GGA-PBEsol).

Results
* raw total energy: -18.0 eV per formula unit
* total moment: 0.00 μB/f.u.
* crystal system: tetragonal

a = 5.199 Å, b = 5.276 Å, c = 5.276 Å
α = 90.00°, β = 90.00°, γ = 90.00°
Sites, in units of the cell vectors:
1 As 0.500 0.000 0.000
2 Ga 0.500 0.500 0.500
3 Se 0.000 0.500 0.000
4 Se 0.000 0.000 0.500
5 Sb 0.000 0.000 0.000

=====

Entry from Alexandria via LeMat-Bulk: an optimized crystal structure of ZrGaSbAs2 (GGA-PBEsol).

Results
* raw total energy: -24.6 eV per formula unit
* total moment: 0.00 μB/f.u.
* crystal system: tetragonal

a = 4.703 Å, b = 4.703 Å, c = 5.294 Å
α = 90.00°, β = 90.00°, γ = 90.00°
Sites, in units of the cell vectors:
1 As 0.000 0.500 0.000
2 As 0.500 0.000 0.000
3 Ga 0.000 0.000 0.000
4 Zr 0.000 0.000 0.500
5 Sb 0.500 0.500 0.500

=====

Entry from Alexandria via LeMat-Bulk: an optimized crystal structure of Sc2TlGaAs (GGA-PBEsol).

Results
* energy of formation: 122.2 meV per atom
* total moment: 0.00 μB/f.u.
* crystal system: tetragonal

a = 4.748 Å, b = 5.080 Å, c = 5.080 Å
α = 90.00°, β = 90.00°, γ = 90.00°
Sites, in units of the cell vectors:
1 Tl 0.500 0.500 0.500
2 Sc 0.000 0.500 0.000
3 Sc 0.000 0.000 0.500
4 Ga 0.000 0.000 0.000
5 As 0.500 0.000 0.000

=====

Entry from Alexandria via LeMat-Bulk: an optimized crystal structure of Sc2GaAsW (GGA-PBEsol).

Results
* energy of formation: 600.0 meV per atom
* total moment: 0.00 μB/f.u.
* crystal system: tetragonal

a = 4.799 Å, b = 4.941 Å, c = 4.941 Å
α = 90.00°, β = 90.00°, γ = 90.00°
Sites, in units of the cell vectors:
1 As 0.500 0.500 0.500
2 Sc 0.000 0.500 0.000
3 Sc 0.000 0.000 0.500
4 W 0.000 0.000 0.000
5 Ga 0.500 0.000 0.000